1.
The following is a DFT calculation (PBEsol) of crystalline LiZn2F2 at its relaxed geometry.

Properties
E_form (uncorrected)	-1.203	eV/atom
density of states at the Fermi level	0.417	states/eV per atom
space group	I4/mmm
uncorrected energy	-3.00	eV/atom

abc: 5.496 5.496 5.496
angles: 140.61 140.61 56.93
Sites, in units of the cell vectors:
Li: 0.000 0.000 0.000
Zn: 0.375 0.375 0.000
Zn: 0.625 0.625 0.000
F: 0.250 0.750 0.500
F: 0.750 0.250 0.500

2.
The following is a DFT calculation (PBEsol) of crystalline MgBr2Cl at its relaxed geometry.

Properties
E_form (uncorrected)	-0.589	eV/atom
density of states at the Fermi level	0.320	states/eV per atom
ΔE to the lowest computed polymorph	0.000	eV/atom
space group	P4/mmm
uncorrected energy	-2.46	eV/atom

abc: 4.289 4.289 5.334
angles: 90.00 90.00 90.00
Sites, in units of the cell vectors:
Mg: 0.000 0.000 0.000
Br: 0.500 0.500 0.249
Br: 0.500 0.500 0.751
Cl: 0.000 0.000 0.500

3.
The following is a DFT calculation (PBEsol) of crystalline Li2CrBr at its relaxed geometry.

Properties
E_form (uncorrected)	-0.002	eV/atom
density of states at the Fermi level	0.247	states/eV per atom
ΔE to the lowest computed polymorph	0.062	eV/atom
space group	Imm2
uncorrected energy	-4.01	eV/atom

abc: 7.677 7.677 7.677
angles: 155.05 154.06 36.30
Sites, in units of the cell vectors:
Li: 0.000 0.000 0.000
Li: 0.713 0.213 0.500
Cr: 0.381 0.381 0.000
Br: 0.142 0.642 0.500

4.
The following is a DFT calculation (PBEsol) of crystalline NiRuO3 at its relaxed geometry.

Properties
E_form (uncorrected)	0.128	eV/atom
density of states at the Fermi level	0.667	states/eV per atom
space group	Pm-3m
uncorrected energy	-6.29	eV/atom

abc: 3.666 3.666 3.666
angles: 90.00 90.00 90.00
Sites, in units of the cell vectors:
Ni: 0.000 0.000 0.000
Ru: 0.500 0.500 0.500
O: 0.000 0.000 0.500
O: 0.000 0.500 0.000
O: 0.500 0.000 0.000

5.
The following is a DFT calculation (PBEsol) of crystalline CaHg2Rh at its relaxed geometry.

Properties
density of states at the Fermi level	0.488	states/eV per atom
formation energy	-0.195	eV per atom
space group	Amm2
uncorrected energy	-3.05	eV/atom

abc: 4.264 5.848 5.848
angles: 35.25 90.00 90.00
Sites, in units of the cell vectors:
Ca: 0.000 0.000 0.000
Hg: 0.000 0.271 0.271
Hg: 0.500 0.666 0.666
Rh: 0.500 0.419 0.419

6.
The following is a DFT calculation (PBEsol) of crystalline ReNiRu at its relaxed geometry.

Properties
density of states at the Fermi level	0.894	states/eV per atom
formation energy	0.124	eV per atom
ΔE to the lowest computed polymorph	0.130	eV/atom
space group	P-6m2
uncorrected energy	-9.76	eV/atom

abc: 4.132 4.132 2.637
angles: 90.00 90.00 120.00
Sites, in units of the cell vectors:
Re: 0.000 0.000 0.000
Ni: 0.667 0.333 0.000
Ru: 0.333 0.667 0.500

7.
The following is a DFT calculation (PBEsol) of crystalline Mo3Pt at its relaxed geometry.

Properties
density of states at the Fermi level	1.170	states/eV per atom
formation energy	-0.078	eV per atom
ΔE to the lowest computed polymorph	0.048	eV/atom
space group	P6_3/mmc
uncorrected energy	-10.65	eV/atom

abc: 5.631 5.631 4.419
angles: 90.00 90.00 120.00
Sites, in units of the cell vectors:
Mo: 0.160 0.319 0.250
Mo: 0.160 0.840 0.250
Mo: 0.319 0.160 0.750
Mo: 0.681 0.840 0.250
Mo: 0.840 0.160 0.750
Mo: 0.840 0.681 0.750
Pt: 0.333 0.667 0.750
Pt: 0.667 0.333 0.250

8.
The following is a DFT calculation (PBEsol) of crystalline ZnSiBI2 at its relaxed geometry.

Properties
E_form (uncorrected)	0.992	eV/atom
density of states at the Fermi level	0.507	states/eV per atom
space group	P4/mmm
uncorrected energy	-2.58	eV/atom

abc: 5.603 5.603 3.925
angles: 90.00 90.00 90.00
Sites, in units of the cell vectors:
Zn: 0.000 0.000 0.000
Si: 0.500 0.500 0.500
B: 0.000 0.000 0.500
I: 0.000 0.500 0.000
I: 0.500 0.000 0.000

9.
The following is a DFT calculation (PBEsol) of crystalline CoHRh3 at its relaxed geometry.

Properties
density of states at the Fermi level	1.017	states/eV per atom
space group	Pm-3m
uncorrected energy	-7.03	eV/atom

abc: 3.787 3.787 3.787
angles: 90.00 90.00 90.00
Sites, in units of the cell vectors:
Co: 0.000 0.000 0.000
H: 0.500 0.500 0.500
Rh: 0.000 0.500 0.500
Rh: 0.500 0.000 0.500
Rh: 0.500 0.500 0.000

10.
The following is a DFT calculation (PBEsol) of crystalline Dy5SbPt2 at its relaxed geometry.

Properties
E_form (uncorrected)	-0.992	eV/atom
density of states at the Fermi level	0.841	states/eV per atom
space group	I4/mcm
uncorrected energy	-6.41	eV/atom

abc: 8.586 8.586 8.586
angles: 126.91 126.91 78.39
Sites, in units of the cell vectors:
Dy: 0.000 0.000 0.000
Dy: 0.019 0.519 0.816
Dy: 0.203 0.019 0.500
Dy: 0.297 0.797 0.816
Dy: 0.481 0.297 0.500
Dy: 0.500 0.500 0.000
Dy: 0.519 0.703 0.500
Dy: 0.703 0.203 0.184
Dy: 0.797 0.981 0.500
Dy: 0.981 0.481 0.184
Sb: 0.250 0.250 0.000
Sb: 0.750 0.750 0.000
Pt: 0.137 0.363 0.500
Pt: 0.363 0.863 0.227
Pt: 0.637 0.137 0.773
Pt: 0.863 0.637 0.500

11.
The following is a DFT calculation (PBEsol) of crystalline Sc2InRu at its relaxed geometry.

Properties
density of states at the Fermi level	0.501	states/eV per atom
formation energy	-0.445	eV per atom
space group	P4/mmm
uncorrected energy	-7.04	eV/atom

abc: 4.627 4.627 3.437
angles: 90.00 90.00 90.00
Sites, in units of the cell vectors:
Sc: 0.000 0.500 0.000
Sc: 0.500 0.000 0.000
In: 0.000 0.000 0.500
Ru: 0.500 0.500 0.500

12.
The following is a DFT calculation (PBEsol) of crystalline Cs2SnMoPd at its relaxed geometry.

Properties
density of states at the Fermi level	1.224	states/eV per atom
formation energy	1.321	eV per atom
space group	P4/mmm
uncorrected energy	-3.45	eV/atom

abc: 6.772 6.772 4.652
angles: 90.00 90.00 90.00
Sites, in units of the cell vectors:
Cs: 0.000 0.500 0.000
Cs: 0.500 0.000 0.000
Sn: 0.000 0.000 0.500
Mo: 0.500 0.500 0.000
Pd: 0.500 0.500 0.500

- uncorrected energy of number 6 (ReNiRu)?
  -9.76 eV/atom